The following is a DFT calculation (PBE) of a geometry-optimized ScOs3Au structure.

a = 4.620 Å, b = 4.620 Å, c = 4.620 Å
α = 90.00°, β = 90.00°, γ = 90.00°
Space group Pm-3m (No. 221)
Symmetry-distinct sites (fractional):
Sc  0.000  0.000  0.000
Os  0.000  0.000  0.500
Au  0.500  0.500  0.500

## Properties
VASP energy ... -31.65 eV/cell
ΔH_f (0 K) ... 2329 meV per atom
Density ... 13.7 g cm⁻³
Spin magnetization ... 2.3 μB/f.u.

---

The following is a DFT calculation (PBE) of a geometry-optimized KTcW3 structure.

a = 4.442 Å, b = 4.442 Å, c = 4.442 Å
α = 90.00°, β = 90.00°, γ = 90.00°
Space group Pm-3m (No. 221)
Symmetry-distinct sites (fractional):
K  0.000  0.000  0.000
Tc  0.500  0.500  0.500
W  0.000  0.000  0.500

## Properties
VASP energy ... -32.03 eV/cell
ΔH_f (0 K) ... 3659 meV per atom
Density ... 13.1 g cm⁻³
Spin magnetization ... 0.0 μB/f.u.

---

The following is a DFT calculation (PBE) of a geometry-optimized AcSm6Tm structure.

a = 5.172 Å, b = 5.172 Å, c = 10.320 Å
α = 90.00°, β = 90.00°, γ = 90.00°
Space group P4/mmm (No. 123)
Symmetry-distinct sites (fractional):
Ac  0.000  0.000  0.000
Sm  0.000  0.500  0.259
Sm  0.500  0.500  0.000
Sm  0.500  0.500  0.500
Tm  0.000  0.000  0.500

## Properties
VASP energy ... -36.61 eV/cell
ΔH_f (0 K) ... 36 meV per atom
Density ... 7.8 g cm⁻³
Spin magnetization ... 0.0 μB/f.u.

---

The following is a DFT calculation (PBE) of a geometry-optimized AlNiMo2 structure.

a = 2.719 Å, b = 2.719 Å, c = 7.715 Å
α = 90.00°, β = 90.00°, γ = 90.00°
Space group P4/mmm (No. 123)
Symmetry-distinct sites (fractional):
Al  0.000  0.000  0.000
Ni  0.000  0.000  0.500
Mo  0.500  0.500  0.262

## Properties
VASP energy ... -31.49 eV/cell
ΔH_f (0 K) ... -75 meV per atom
Density ... 8.1 g cm⁻³
Spin magnetization ... 0.0 μB/f.u.

---

The following is a DFT calculation (PBE) of a geometry-optimized CeLu2In structure.

a = 4.844 Å, b = 4.844 Å, c = 4.673 Å
α = 90.00°, β = 90.00°, γ = 90.00°
Space group P4/mmm (No. 123)
Symmetry-distinct sites (fractional):
Ce  0.000  0.000  0.000
Lu  0.000  0.500  0.500
In  0.500  0.500  0.000

## Properties
VASP energy ... -18.51 eV/cell
ΔH_f (0 K) ... -199 meV per atom
Density ... 9.2 g cm⁻³
Spin magnetization ... 1.2 μB/f.u.

---

The following is a DFT calculation (PBE) of a geometry-optimized PuMgScCd structure.

a = 7.346 Å, b = 7.346 Å, c = 7.346 Å
α = 90.00°, β = 90.00°, γ = 90.00°
Space group F-43m (No. 216)
Symmetry-distinct sites (fractional):
Pu  0.000  0.000  0.000
Mg  0.250  0.250  0.250
Sc  0.000  0.000  0.500
Cd  0.250  0.250  0.750

## Properties
VASP energy ... -92.09 eV/cell
ΔH_f (0 K) ... 38 meV per atom
Density ... 7.1 g cm⁻³
Spin magnetization ... 6.3 μB/f.u.